Material: Pd2AuBr2
Method: DFT, GGA-PBE
State: relaxed

The raw formation energy comes out at 0.252 eV/atom. For the density of states at the Fermi level, the calculation gives 4.27 states/eV/cell. For the energy above the most stable polymorph in this dataset, the calculation gives 0.17 eV/f.u.

It has space group I4/mmm (No. 139), with a = 5.205 Å, b = 5.205 Å, c = 8.446 Å, α = 90.00°, β = 90.00° and γ = 90.00°. The distinct sites, in fractional coordinates, are Pd at (0.000, 0.000, 0.187), Au at (0.000, 0.000, 0.500) and Br at (0.000, 0.500, 0.250).